# 1
Nd4Y5Tm, relaxed, DFT PBE-GGA; energy relative to the lowest polymorph listed for this composition = 0.0 meV per atom; VASP energy = -55.7 eV/f.u.; DFT formation energy = 0.21 eV per formula unit; spin magnetization = 0.00 μB per formula unit; space group = P4/mmm (123)
1.0
3.614 0.000 0.000
0.000 3.614 0.000
0.000 0.000 25.387
Y Nd Tm
5 4 1
direct
0.500 0.500 0.298
0.500 0.500 0.702
0.500 0.500 0.500
0.500 0.500 0.904
0.500 0.500 0.096
0.000 0.000 0.601
0.000 0.000 0.197
0.000 0.000 0.399
0.000 0.000 0.803
0.000 0.000 0.000

# 2
Cd2In7Pb3, relaxed, DFT PBE-GGA; energy relative to the lowest polymorph listed for this composition = 58.5 meV per atom; VASP energy = -30.9 eV/f.u.; DFT formation energy = 1.25 eV per formula unit; spin magnetization = 0.00 μB per formula unit; space group = R-3m (166)
1.0
-6.160 0.000 -0.358
-3.143 -5.231 0.911
-3.696 0.397 10.429
In Pb Cd
7 3 2
direct
0.414 0.922 0.250
0.414 0.414 0.250
0.586 0.586 0.750
0.500 0.500 0.500
0.078 0.586 0.750
0.586 0.078 0.750
0.922 0.414 0.250
0.000 0.000 0.000
0.856 0.856 0.432
0.144 0.144 0.568
0.665 0.665 0.004
0.335 0.335 0.996

# 3
Ni5Br, relaxed, DFT PBE-GGA; energy relative to the lowest polymorph listed for this composition = 57.3 meV per atom; VASP energy = -28.6 eV/f.u.; spin magnetization = 3.33 μB per formula unit; formation energy without anion corrections = 336 meV/atom; space group = Amm2 (38)
1.0
1.730 -6.982 0.000
1.730 6.982 0.000
0.000 0.000 3.452
Ni Br
5 1
direct
0.410 0.590 0.500
0.663 0.337 0.000
0.791 0.209 0.500
0.288 0.712 0.000
0.164 0.836 0.500
0.018 0.982 0.000

# 4
La2Nd3Th, relaxed, DFT PBE-GGA; energy relative to the lowest polymorph listed for this composition = 51.8 meV per atom; VASP energy = -30.8 eV/f.u.; DFT formation energy = 0.76 eV per formula unit; spin magnetization = 0.00 μB per formula unit; space group = C2/c (15)
1.0
7.168 0.000 0.000
-3.584 8.371 -1.790
0.000 -0.002 7.172
Th Nd La
2 6 4
direct
0.746 0.000 0.250
0.254 0.000 0.750
0.149 0.296 0.074
0.853 0.704 0.426
0.746 0.000 0.750
0.851 0.704 0.926
0.147 0.296 0.574
0.254 0.000 0.250
0.343 0.687 0.922
0.656 0.313 0.578
0.344 0.687 0.422
0.657 0.313 0.078

Which value of energy relative to the lowest polymorph listed for this composition does entry 1 give? 0.0 meV per atom

Which value of spin magnetization does entry 2 give? 0.00 μB per formula unit